Entry from OQMD via LeMat-Bulk: an optimized crystal structure of GaTeAuO (PBE).

For the total DFT energy (no corrections), the calculation gives -4.04 eV per atom.

Cell: 3.8127 3.8127 10.1774 Å, 90.00 90.00 90.00°
Space group P4/nmm (No. 129, origin choice 2)
Inequivalent atoms, fractional coordinates:
Ga (0.2500, 0.2500, 0.0859)
Te (0.2500, 0.2500, 0.7164)
Au (0.2500, 0.7500, 0.5000)
O (0.2500, 0.7500, 0.0000)